IrRuO, relaxed, DFT PBE; crystal system = monoclinic; ΔE_f (raw) = 0.0478 eV/atom; final energy = -7.651 eV per atom; E above lowest polymorph = 0.307 eV per atom; Fermi-level density of states = 1.29 states/eV per atom; density = 11.4 g cm⁻³
1.0
5.2426 0.0000 0.0024
0.0000 2.7056 0.0000
-1.9078 0.0000 6.3780
O Ru Ir
2 2 2
direct
0.9409 0.5000 0.3821
0.9409 0.0000 0.8821
0.6466 0.5000 0.8428
0.6466 0.0000 0.3428
0.3324 0.5000 0.4981
0.3324 0.0000 0.9981